An optimized crystal structure of VCrC. Source: the Alexandria database, functional PBE.

```
VCrC
1.0
5.070 0.039 -1.410
-2.681 4.304 -1.410
-0.020 -0.036 5.695
V C Cr
4 4 4
direct
0.157 0.418 0.656
0.168 0.407 0.156
0.762 0.501 0.344
0.251 0.012 0.844
0.469 0.468 0.511
0.708 0.207 0.989
0.957 0.958 0.489
0.218 0.719 0.011
0.670 0.912 0.149
0.271 0.013 0.351
0.662 0.920 0.649
0.763 0.521 0.851
```

Values from the calculation:
Energy relative to the lowest polymorph listed for this composition in kJ/mol of atoms: 1.36
V in Å³ per cell: 124.34
Fermi-level density of states in states/eV/f.u.: 2.10
E_form in eV per formula unit: -0.91

An optimized crystal structure of V2CrC. Source: the Alexandria database, functional PBE.

```
V2CrC
1.0
2.840 0.000 0.000
1.420 2.459 0.000
1.420 0.820 6.749
C Cr V
1 1 2
direct
0.500 0.500 0.500
0.000 0.000 0.000
0.109 0.109 0.672
0.891 0.891 0.328
```

Values from the calculation:
V in Å³ per cell: 47.14
Fermi-level density of states in states/eV/f.u.: 3.21
E_form in eV per formula unit: 0.42

An optimized crystal structure of V3CrC. Source: the Alexandria database, functional PBE.

```
V3CrC
1.0
4.126 0.000 0.000
2.063 4.573 0.125
2.063 1.816 6.247
V C Cr
6 2 2
direct
0.109 0.000 0.782
0.139 0.367 0.355
0.635 0.660 0.071
0.891 0.000 0.218
0.861 0.633 0.645
0.365 0.340 0.929
0.128 0.679 0.066
0.872 0.321 0.934
0.619 0.205 0.557
0.381 0.795 0.443
```

Values from the calculation:
Energy relative to the lowest polymorph listed for this composition in kJ/mol of atoms: 0.00
V in Å³ per cell: 116.91
Fermi-level density of states in states/eV/f.u.: 2.30
E_form in eV per formula unit: -1.27

An optimized crystal structure of V2Cr4C. Source: the Alexandria database, functional PBE.

```
V2Cr4C
1.0
3.806 0.000 0.000
0.000 3.806 0.000
1.903 1.903 6.008
Cr C V
4 1 2
direct
0.500 0.000 0.000
0.167 0.167 0.666
0.000 0.500 0.000
0.833 0.833 0.334
0.000 0.000 0.000
0.633 0.633 0.734
0.367 0.367 0.266
```

Values from the calculation:
V in Å³ per cell: 87.05
Fermi-level density of states in states/eV/f.u.: 6.50
E_form in eV per formula unit: 3.09

An optimized crystal structure of V3CrC. Source: the Alexandria database, functional PBE.

```
V3CrC
1.0
4.225 0.000 0.000
0.000 4.225 0.000
0.000 0.000 4.225
V C Cr
3 1 1
direct
0.000 0.500 0.000
0.500 0.000 0.000
0.000 0.000 0.500
0.500 0.500 0.500
0.000 0.000 0.000
```

Values from the calculation:
Energy relative to the lowest polymorph listed for this composition in kJ/mol of atoms: 212.94
V in Å³ per cell: 75.45
Fermi-level density of states in states/eV/f.u.: 3.27
E_form in eV per formula unit: 9.76

An optimized crystal structure of V2CrC. Source: the Alexandria database, functional PBE.

```
V2CrC
1.0
-1.176 -6.618 -1.414
4.594 0.274 -5.100
3.166 -3.706 -1.973
C V Cr
2 4 2
direct
0.500 0.500 0.000
0.250 0.750 0.500
0.375 0.494 0.750
0.506 0.125 0.250
0.244 0.625 0.250
0.875 0.756 0.750
0.000 0.000 0.000
0.750 0.250 0.500
```

Values from the calculation:
V in Å³ per cell: 95.05
Fermi-level density of states in states/eV/f.u.: 2.42
E_form in eV per formula unit: 0.34

An optimized crystal structure of V2CrC. Source: the Alexandria database, functional PBE.

```
V2CrC
1.0
2.890 0.000 0.000
0.000 2.890 0.000
0.000 0.000 5.046
V C Cr
2 1 1
direct
0.000 0.000 0.781
0.000 0.000 0.219
0.500 0.500 0.000
0.500 0.500 0.500
```

Values from the calculation:
V in Å³ per cell: 42.14
Fermi-level density of states in states/eV/f.u.: 3.56
E_form in eV per formula unit: 0.69

An optimized crystal structure of VCrC3. Source: the Alexandria database, functional PBE.

```
VCrC3
1.0
3.877 0.000 0.000
0.000 3.877 0.000
0.000 0.000 3.877
C Cr V
3 1 1
direct
0.500 0.000 0.000
0.000 0.500 0.000
0.000 0.000 0.500
0.500 0.500 0.500
0.000 0.000 0.000
```

Values from the calculation:
Energy relative to the lowest polymorph listed for this composition in kJ/mol of atoms: 10.37
V in Å³ per cell: 58.28
Fermi-level density of states in states/eV/f.u.: 3.41
E_form in eV per formula unit: 8.62

An optimized crystal structure of CrW3C. Source: the Alexandria database, functional PBE.

```
CrW3C
1.0
-0.044 -3.643 1.959
1.535 -1.834 -3.375
3.841 0.691 1.371
W C Cr
3 1 1
direct
0.000 0.000 0.500
0.000 0.500 0.000
0.500 0.000 0.000
0.000 0.000 0.000
0.500 0.500 0.500
```

Values from the calculation:
Energy relative to the lowest polymorph listed for this composition in kJ/mol of atoms: 0.00
V in Å³ per cell: 70.77
Fermi-level density of states in states/eV/f.u.: 3.53
E_form in eV per formula unit: 1.63

An optimized crystal structure of CrW3C. Source: the Alexandria database, functional PBE.

```
CrW3C
1.0
4.472 0.000 0.000
0.000 4.472 0.000
0.000 0.000 4.472
W Cr C
3 1 1
direct
0.000 0.000 0.500
0.000 0.500 0.000
0.500 0.000 0.000
0.000 0.000 0.000
0.500 0.500 0.500
```

Values from the calculation:
Energy relative to the lowest polymorph listed for this composition in kJ/mol of atoms: 234.83
V in Å³ per cell: 89.43
Fermi-level density of states in states/eV/f.u.: 5.29
E_form in eV per formula unit: 13.80

An optimized crystal structure of Cr10WC3. Source: the Alexandria database, functional PBE.

```
Cr10WC3
1.0
6.495 0.000 3.750
2.165 6.123 3.750
0.000 0.000 7.499
Cr W C
20 2 6
direct
0.384 0.384 0.847
0.000 0.663 0.337
0.663 0.000 0.000
0.384 0.384 0.384
0.337 0.000 0.663
0.153 0.616 0.616
0.000 0.000 0.663
0.337 0.663 0.000
0.616 0.153 0.616
0.663 0.000 0.337
0.000 0.663 0.000
0.847 0.384 0.384
0.616 0.616 0.153
0.616 0.616 0.616
0.384 0.847 0.384
0.000 0.337 0.663
0.000 0.000 0.337
0.337 0.000 0.000
0.000 0.337 0.000
0.663 0.337 0.000
0.750 0.750 0.750
0.250 0.250 0.250
0.726 0.274 0.726
0.274 0.726 0.274
0.274 0.726 0.726
0.274 0.274 0.726
0.726 0.726 0.274
0.726 0.274 0.274
```

Values from the calculation:
V in Å³ per cell: 298.24
Fermi-level density of states in states/eV/f.u.: 13.18
E_form in eV per formula unit: -0.98

An optimized crystal structure of CrWC3. Source: the Alexandria database, functional PBE.

```
CrWC3
1.0
4.037 0.000 0.000
0.000 4.037 0.000
0.000 0.000 4.037
C Cr W
3 1 1
direct
0.500 0.000 0.000
0.000 0.000 0.500
0.000 0.500 0.000
0.500 0.500 0.500
0.000 0.000 0.000
```

Values from the calculation:
Energy relative to the lowest polymorph listed for this composition in kJ/mol of atoms: 17.41
V in Å³ per cell: 65.81
Fermi-level density of states in states/eV/f.u.: 6.60
E_form in eV per formula unit: 11.03